(1)
Material: Zr2Cd3In3
Method: DFT, PBE
State: optimized geometry

CIF file:
```
data_Zr2Cd3In3
_chemical_formula_sum 'Zr2 Cd3 In3'
_cell_length_a 4.425
_cell_length_b 4.511
_cell_length_c 8.743
_cell_angle_alpha 90.00
_cell_angle_beta 90.00
_cell_angle_gamma 90.00
_symmetry_space_group_name_H-M 'P m m m'
_symmetry_Int_Tables_number 47
loop_
_symmetry_equiv_pos_as_xyz
'x,y,z'
'-x,-y,-z'
'-x,-y,z'
'x,y,-z'
'x,-y,-z'
'-x,y,z'
'-x,y,-z'
'x,-y,z'
loop_
_atom_site_label
_atom_site_type_symbol
_atom_site_fract_x
_atom_site_fract_y
_atom_site_fract_z
Zr1 Zr 0.000 0.000 0.246
Cd1 Cd 0.000 0.500 0.500
Cd2 Cd 0.500 0.500 0.256
In1 In 0.000 0.500 0.000
In2 In 0.500 0.000 0.000
In3 In 0.500 0.000 0.500
```

Values from the calculation:
Mass density   8.22 Mg/m³
Magnetization   0.000 μB per atom
Formation energy from the elements   -0.23 eV per atom

(2)
Material: Zr2CdIn
Method: DFT, PBE
State: optimized geometry

CIF file:
```
data_Zr2CdIn
_chemical_formula_sum 'Zr2 Cd1 In1'
_cell_length_a 3.116
_cell_length_b 3.116
_cell_length_c 9.378
_cell_angle_alpha 90.00
_cell_angle_beta 90.00
_cell_angle_gamma 90.00
_symmetry_space_group_name_H-M 'P 4 m m'
_symmetry_Int_Tables_number 99
loop_
_symmetry_equiv_pos_as_xyz
'x,y,z'
'-y,x,z'
'-x,-y,z'
'y,-x,z'
'-x,y,z'
'y,x,z'
'x,-y,z'
'-y,-x,z'
loop_
_atom_site_label
_atom_site_type_symbol
_atom_site_fract_x
_atom_site_fract_y
_atom_site_fract_z
Zr1 Zr 0.000 0.000 0.000
Zr2 Zr 0.500 0.500 0.245
Cd1 Cd 0.000 0.000 0.496
In1 In 0.500 0.500 0.746
```

Values from the calculation:
Mass density   7.47 Mg/m³
Magnetization   0.000 μB per atom
Formation energy from the elements   -0.13 eV per atom

(3)
Material: Zr2CdIn
Method: DFT, PBE
State: optimized geometry

CIF file:
```
data_Zr2CdIn
_chemical_formula_sum 'Zr6 Cd3 In3'
_cell_length_a 3.1554
_cell_length_b 3.1554
_cell_length_c 31.5975
_cell_angle_alpha 90.00
_cell_angle_beta 90.00
_cell_angle_gamma 120.00
_symmetry_space_group_name_H-M 'R -3 m'
_symmetry_Int_Tables_number 166
_symmetry_space_group_name_Hall '-R 3 2"'
loop_
_atom_site_label
_atom_site_type_symbol
_atom_site_fract_x
_atom_site_fract_y
_atom_site_fract_z
Zr1 Zr 0.0000 0.0000 0.2499
Cd1 Cd 0.0000 0.0000 0.0000
In1 In 0.0000 0.0000 0.5000
```

Values from the calculation:
Mass density   7.49 Mg/m³
Magnetization   0.000 μB per atom
Formation energy from the elements   -0.07 eV per atom

(4)
Material: ZrCd2In
Method: DFT, PBE
State: optimized geometry

CIF file:
```
data_ZrCd2In
_chemical_formula_sum 'Zr1 Cd2 In1'
_cell_length_a 3.161
_cell_length_b 4.430
_cell_length_c 6.441
_cell_angle_alpha 90.00
_cell_angle_beta 90.00
_cell_angle_gamma 90.00
_symmetry_space_group_name_H-M 'P m m 2'
_symmetry_Int_Tables_number 25
loop_
_symmetry_equiv_pos_as_xyz
'x,y,z'
'-x,-y,z'
'-x,y,z'
'x,-y,z'
loop_
_atom_site_label
_atom_site_type_symbol
_atom_site_fract_x
_atom_site_fract_y
_atom_site_fract_z
Zr1 Zr 0.000 0.000 0.000
Cd1 Cd 0.000 0.000 0.493
Cd2 Cd 0.500 0.500 0.256
In1 In 0.500 0.500 0.767
```

Values from the calculation:
Mass density   7.93 Mg/m³
Magnetization   0.000 μB per atom
Formation energy from the elements   -0.03 eV per atom

(5)
Material: Zr9CdIn2
Method: DFT, PBE
State: optimized geometry

CIF file:
```
data_Zr9CdIn2
_chemical_formula_sum 'Zr9 Cd1 In2'
_cell_length_a 4.474
_cell_length_b 4.474
_cell_length_c 13.400
_cell_angle_alpha 90.00
_cell_angle_beta 90.00
_cell_angle_gamma 90.00
_symmetry_space_group_name_H-M 'P 4/m m m'
_symmetry_Int_Tables_number 123
_symmetry_space_group_name_Hall '-P 4 2'
loop_
_atom_site_label
_atom_site_type_symbol
_atom_site_fract_x
_atom_site_fract_y
_atom_site_fract_z
Zr1 Zr 0.000 0.000 0.000
Zr2 Zr 0.000 0.000 0.333
Zr3 Zr 0.000 0.500 0.167
Zr4 Zr 0.000 0.500 0.500
Cd1 Cd 0.500 0.500 0.000
In1 In 0.500 0.500 0.333
```

Values from the calculation:
Mass density   7.20 Mg/m³
Magnetization   0.000 μB per atom
Formation energy from the elements   -0.19 eV per atom

(6)
Material: Zr7Cd2In2
Method: DFT, PBE
State: optimized geometry

CIF file:
```
data_Zr7Cd2In2
_chemical_formula_sum 'Zr14 Cd4 In4'
_cell_length_a 11.076
_cell_length_b 9.709
_cell_length_c 5.285
_cell_angle_alpha 90.00
_cell_angle_beta 117.40
_cell_angle_gamma 90.00
_symmetry_space_group_name_H-M 'C 1 2/m 1'
_symmetry_Int_Tables_number 12
loop_
_symmetry_equiv_pos_as_xyz
'x,y,z'
'-x,-y,-z'
'-x,y,-z'
'x,-y,z'
'x+1/2,y+1/2,z'
'-x+1/2,-y+1/2,-z'
'-x+1/2,y+1/2,-z'
'x+1/2,-y+1/2,z'
loop_
_atom_site_label
_atom_site_type_symbol
_atom_site_fract_x
_atom_site_fract_y
_atom_site_fract_z
Zr1 Zr 0.000 0.000 0.000
Zr2 Zr 0.012 0.500 0.761
Zr3 Zr 0.200 0.196 0.197
Cd1 Cd 0.000 0.214 0.500
In1 In 0.215 0.000 0.703
```

Values from the calculation:
Mass density   7.19 Mg/m³
Magnetization   0.000 μB per atom
Formation energy from the elements   0.08 eV per atom

(7)
Material: ZrCd2In
Method: DFT, PBE
State: optimized geometry

CIF file:
```
data_ZrCd2In
_chemical_formula_sum 'Zr1 Cd2 In1'
_cell_length_a 3.164
_cell_length_b 4.630
_cell_length_c 6.265
_cell_angle_alpha 90.00
_cell_angle_beta 101.01
_cell_angle_gamma 90.00
_symmetry_space_group_name_H-M 'P 1 m 1'
_symmetry_Int_Tables_number 6
loop_
_symmetry_equiv_pos_as_xyz
'x,y,z'
'x,-y,z'
loop_
_atom_site_label
_atom_site_type_symbol
_atom_site_fract_x
_atom_site_fract_y
_atom_site_fract_z
Zr1 Zr 0.000 0.000 0.000
Cd1 Cd 0.306 0.000 0.500
Cd2 Cd 0.648 0.500 0.278
In1 In 0.422 0.500 0.793
```

Values from the calculation:
Mass density   7.94 Mg/m³
Magnetization   0.000 μB per atom
Formation energy from the elements   -0.07 eV per atom

(8)
Material: Zr3CdIn
Method: DFT, PBE
State: optimized geometry

CIF file:
```
data_Zr3CdIn
_chemical_formula_sum 'Zr24 Cd8 In8'
_cell_length_a 12.787
_cell_length_b 8.987
_cell_length_c 10.012
_cell_angle_alpha 90.00
_cell_angle_beta 127.02
_cell_angle_gamma 90.00
_symmetry_space_group_name_H-M 'C 1 2/c 1'
_symmetry_Int_Tables_number 15
loop_
_symmetry_equiv_pos_as_xyz
'x,y,z'
'-x,-y,-z'
'-x,y,-z+1/2'
'x,-y,z+1/2'
'x+1/2,y+1/2,z'
'-x+1/2,-y+1/2,-z'
'-x+1/2,y+1/2,-z+1/2'
'x+1/2,-y+1/2,z+1/2'
loop_
_atom_site_label
_atom_site_type_symbol
_atom_site_fract_x
_atom_site_fract_y
_atom_site_fract_z
Zr1 Zr 0.095 0.155 0.069
Zr2 Zr 0.190 0.483 0.098
Zr3 Zr 0.204 0.162 0.573
Cd1 Cd 0.125 0.315 0.785
In1 In 0.000 0.000 0.250
In2 In 0.000 0.361 0.250
```

Values from the calculation:
Mass density   7.24 Mg/m³
Magnetization   0.000 μB per atom
Formation energy from the elements   -0.04 eV per atom

(9)
Material: ZrCd2In
Method: DFT, PBE
State: optimized geometry

CIF file:
```
data_ZrCd2In
_chemical_formula_sum 'Zr4 Cd8 In4'
_cell_length_a 7.095
_cell_length_b 7.095
_cell_length_c 7.095
_cell_angle_alpha 90.00
_cell_angle_beta 90.00
_cell_angle_gamma 90.00
_symmetry_space_group_name_H-M 'F -4 3 m'
_symmetry_Int_Tables_number 216
_symmetry_space_group_name_Hall 'F -4 2 3'
loop_
_atom_site_label
_atom_site_type_symbol
_atom_site_fract_x
_atom_site_fract_y
_atom_site_fract_z
Zr1 Zr 0.000 0.000 0.000
Cd1 Cd 0.000 0.000 0.500
Cd2 Cd 0.250 0.250 0.750
In1 In 0.250 0.250 0.250
```

Values from the calculation:
Mass density   8.01 Mg/m³
Magnetization   0.002 μB per atom
Formation energy from the elements   0.08 eV per atom

(10)
Material: Zr5CdIn3
Method: DFT, PBE
State: optimized geometry

CIF file:
```
data_Zr5CdIn3
_chemical_formula_sum 'Zr10 Cd2 In6'
_cell_length_a 8.8075
_cell_length_b 8.8075
_cell_length_c 6.0087
_cell_angle_alpha 90.00
_cell_angle_beta 90.00
_cell_angle_gamma 120.00
_symmetry_space_group_name_H-M 'P 63/m c m'
_symmetry_Int_Tables_number 193
_symmetry_space_group_name_Hall '-P 6c 2'
loop_
_atom_site_label
_atom_site_type_symbol
_atom_site_fract_x
_atom_site_fract_y
_atom_site_fract_z
Zr1 Zr 0.0000 0.3081 0.2500
Zr2 Zr 0.3333 0.6667 0.0000
Cd1 Cd 0.0000 0.0000 0.0000
In1 In 0.0000 0.3602 0.7500
```

Values from the calculation:
Mass density   7.51 Mg/m³
Magnetization   0.000 μB per atom
Formation energy from the elements   -0.26 eV per atom

(11)
Material: ZrCd2In
Method: DFT, PBE
State: optimized geometry

CIF file:
```
data_ZrCd2In
_chemical_formula_sum 'Zr2 Cd4 In2'
_cell_length_a 6.127
_cell_length_b 9.374
_cell_length_c 3.169
_cell_angle_alpha 90.00
_cell_angle_beta 90.00
_cell_angle_gamma 90.00
_symmetry_space_group_name_H-M 'C m m m'
_symmetry_Int_Tables_number 65
_symmetry_space_group_name_Hall '-C 2 2'
loop_
_atom_site_label
_atom_site_type_symbol
_atom_site_fract_x
_atom_site_fract_y
_atom_site_fract_z
Zr1 Zr 0.000 0.000 0.000
Cd1 Cd 0.250 0.250 0.500
In1 In 0.000 0.500 0.000
```

Values from the calculation:
Mass density   7.86 Mg/m³
Magnetization   0.000 μB per atom
Formation energy from the elements   -0.06 eV per atom

(12)
Material: ZrCd2In
Method: DFT, PBE
State: optimized geometry

CIF file:
```
data_ZrCd2In
_chemical_formula_sum 'Zr2 Cd4 In2'
_cell_length_a 11.608
_cell_length_b 3.009
_cell_length_c 5.828
_cell_angle_alpha 90.00
_cell_angle_beta 117.90
_cell_angle_gamma 90.00
_symmetry_space_group_name_H-M 'C 1 m 1'
_symmetry_Int_Tables_number 8
loop_
_symmetry_equiv_pos_as_xyz
'x,y,z'
'x,-y,z'
'x+1/2,y+1/2,z'
'x+1/2,-y+1/2,z'
loop_
_atom_site_label
_atom_site_type_symbol
_atom_site_fract_x
_atom_site_fract_y
_atom_site_fract_z
Zr1 Zr 0.000 0.000 0.000
Cd1 Cd 0.001 0.500 0.496
Cd2 Cd 0.254 0.000 0.563
In1 In 0.247 0.500 0.052
```

Values from the calculation:
Mass density   7.95 Mg/m³
Magnetization   0.000 μB per atom
Formation energy from the elements   -0.07 eV per atom

Question: Look up the formation energy from the elements of the first one.
Answer: -0.23 eV per atom

Question: formation energy from the elements of number 7 (ZrCd2In)?
Answer: -0.07 eV per atom